Here is a geometry-optimized TcSb2Pt structure from Alexandria. Energies are from PBE.

a b c (Å): 4.920 4.920 4.920
angles (deg): 126.21 126.21 79.54
Fractional positions:
Tc  0.000  0.000  0.000
Sb  0.250  0.750  0.500
Sb  0.750  0.250  0.500
Pt  0.500  0.500  0.000

Output
Raw formation energy (eV per formula unit): 0.8
Size of the total moment (μB per atom): 0.000
Crystal system: tetragonal
Total energy (eV per formula unit): -23.84

Here is a geometry-optimized La2CuNiW structure from Alexandria. Energies are from PBE.

a b c (Å): 5.408 5.408 4.307
angles (deg): 90.00 90.00 90.00
Fractional positions:
La  0.000  0.500  0.000
La  0.500  0.000  0.000
Cu  0.000  0.000  0.000
Ni  0.000  0.000  0.500
W  0.500  0.500  0.500

Output
Size of the total moment (μB per atom): 0.473
Crystal system: tetragonal
Total energy (eV per formula unit): -28.08

Here is a geometry-optimized Tb5Tl2Au structure from Alexandria. Energies are from PBE.

a b c (Å): 6.956 12.978 4.980
angles (deg): 90.00 90.00 90.00
Fractional positions:
Tb  0.000  0.000  0.000
Tb  0.119  0.280  0.000
Tb  0.173  0.596  0.500
Tb  0.327  0.096  0.500
Tb  0.381  0.780  0.000
Tb  0.500  0.500  0.000
Tb  0.619  0.220  0.000
Tb  0.673  0.904  0.500
Tb  0.827  0.404  0.500
Tb  0.881  0.720  0.000
Tl  0.123  0.847  0.500
Tl  0.377  0.347  0.500
Tl  0.623  0.653  0.500
Tl  0.877  0.153  0.500
Au  0.000  0.500  0.000
Au  0.500  0.000  0.000

Output
Size of the total moment (μB per atom): 0.000
Crystal system: orthorhombic
Total energy (eV per formula unit): -34.41

Here is a geometry-optimized Na2VAgSn structure from Alexandria. Energies are from PBE.

a b c (Å): 5.038 5.038 5.213
angles (deg): 90.00 90.00 90.00
Fractional positions:
Na  0.000  0.500  0.000
Na  0.500  0.000  0.000
V  0.000  0.000  0.500
Ag  0.000  0.000  0.000
Sn  0.500  0.500  0.500

Output
Size of the total moment (μB per atom): 0.028
Crystal system: tetragonal
Total energy (eV per formula unit): -14.26

Here is a geometry-optimized Li4SbS5 structure from Alexandria. Energies are from PBE.

a b c (Å): 6.437 6.437 6.437
angles (deg): 99.79 99.79 131.29
Fractional positions:
Li  0.117  0.293  0.410
Li  0.293  0.883  0.175
Li  0.707  0.117  0.825
Li  0.883  0.707  0.590
Sb  0.535  0.535  0.000
S  0.207  0.576  0.797
S  0.410  0.207  0.630
S  0.576  0.780  0.370
S  0.780  0.410  0.203
S  0.995  0.995  0.000

Output
Raw formation energy (eV per formula unit): -7.2
Size of the total moment (μB per atom): 0.001
Crystal system: tetragonal
Total energy (eV per formula unit): -39.62

Here is a geometry-optimized Rb2NbTc2 structure from Alexandria. Energies are from PBE.

a b c (Å): 9.581 9.581 2.693
angles (deg): 90.00 90.00 90.00
Fractional positions:
Rb  0.113  0.387  0.000
Rb  0.387  0.887  0.000
Rb  0.613  0.113  0.000
Rb  0.887  0.613  0.000
Nb  0.000  0.000  0.000
Nb  0.500  0.500  0.000
Tc  0.193  0.693  0.500
Tc  0.307  0.193  0.500
Tc  0.693  0.807  0.500
Tc  0.807  0.307  0.500

Output
Size of the total moment (μB per atom): 0.408
Crystal system: tetragonal
Total energy (eV per formula unit): -21.59

Here is a geometry-optimized SrAgSe2N structure from Alexandria. Energies are from PBE.

a b c (Å): 5.892 5.892 4.874
angles (deg): 90.00 90.00 90.00
Fractional positions:
Sr  0.000  0.000  0.000
Ag  0.500  0.500  0.500
Se  0.000  0.500  0.000
Se  0.500  0.000  0.000
N  0.000  0.000  0.500

Output
Raw formation energy (eV per formula unit): 4.1
Size of the total moment (μB per atom): 0.790
Crystal system: tetragonal
Total energy (eV per formula unit): -15.70

Here is a geometry-optimized SmPuCo4 structure from Alexandria. Energies are from PBE.

a b c (Å): 5.078 5.078 5.078
angles (deg): 60.00 60.00 60.00
Fractional positions:
Sm  0.000  0.000  0.000
Pu  0.250  0.250  0.250
Co  0.128  0.624  0.624
Co  0.624  0.128  0.624
Co  0.624  0.624  0.128
Co  0.624  0.624  0.624

Output
Size of the total moment (μB per atom): 0.186
Crystal system: cubic
Total energy (eV per formula unit): -48.18

Here is a geometry-optimized Pm3Y5Er structure from Alexandria. Energies are from PBE.

a b c (Å): 9.810 9.810 7.092
angles (deg): 90.00 90.00 120.00
Fractional positions:
Pm  0.000  0.361  0.250
Pm  0.000  0.639  0.750
Pm  0.361  0.000  0.250
Pm  0.361  0.361  0.750
Pm  0.639  0.000  0.750
Pm  0.639  0.639  0.250
Y  0.000  0.304  0.750
Y  0.000  0.696  0.250
Y  0.304  0.000  0.750
Y  0.304  0.304  0.250
Y  0.333  0.667  0.000
Y  0.333  0.667  0.500
Y  0.667  0.333  0.000
Y  0.667  0.333  0.500
Y  0.696  0.000  0.250
Y  0.696  0.696  0.750
Er  0.000  0.000  0.000
Er  0.000  0.000  0.500

Output
Size of the total moment (μB per atom): 0.000
Crystal system: hexagonal
Total energy (eV per formula unit): -50.73

Here is a geometry-optimized ZrSc5Pd4 structure from Alexandria. Energies are from PBE.

a b c (Å): 3.282 3.282 17.816
angles (deg): 90.00 90.00 90.00
Fractional positions:
Zr  0.000  0.000  0.000
Sc  0.500  0.500  0.122
Sc  0.500  0.500  0.310
Sc  0.500  0.500  0.500
Sc  0.500  0.500  0.690
Sc  0.500  0.500  0.878
Pd  0.000  0.000  0.218
Pd  0.000  0.000  0.405
Pd  0.000  0.000  0.595
Pd  0.000  0.000  0.782

Output
Size of the total moment (μB per atom): 0.000
Crystal system: tetragonal
Total energy (eV per formula unit): -68.18

Here is a geometry-optimized K2RhAu structure from Alexandria. Energies are from PBE.

a b c (Å): 8.138 8.138 8.138
angles (deg): 32.60 32.60 32.60
Fractional positions:
K  0.000  0.000  0.000
K  0.178  0.178  0.178
Rh  0.756  0.756  0.756
Au  0.422  0.422  0.422

Output
Size of the total moment (μB per atom): 0.028
Crystal system: trigonal
Total energy (eV per formula unit): -12.23

Here is a geometry-optimized DyScGe structure from Alexandria. Energies are from PBE.

a b c (Å): 4.735 4.735 4.735
angles (deg): 60.00 60.00 60.00
Fractional positions:
Dy  0.000  0.000  0.000
Sc  0.500  0.500  0.500
Ge  0.250  0.250  0.250

Output
Size of the total moment (μB per atom): 0.000
Crystal system: cubic
Total energy (eV per formula unit): -17.17